Entry 1:
A plane-wave DFT calculation with PBEsol was carried out for a relaxed FePbBr2 crystal.

a = 8.6363 Å, b = 8.6363 Å, c = 8.6363 Å
α = 24.54°, β = 24.54°, γ = 24.54°
Element x y z (fractional)
1 Fe 0.0000 0.0000 0.0000
2 Pb 0.2587 0.2587 0.2587
3 Br 0.5076 0.5076 0.5076
4 Br 0.7171 0.7171 0.7171

Distance to the lowest polymorph of the same formula: 0 meV per atom
Fermi-level density of states: 0.955 states/eV per atom
Crystal system: trigonal

***

Entry 2:
A plane-wave DFT calculation with PBEsol was carried out for a relaxed Ti4FeBiPb4O15 crystal.

a = 13.7150 Å, b = 13.7150 Å, c = 4.5125 Å
α = 90.00°, β = 90.00°, γ = 157.31°
Element x y z (fractional)
1 Ti 0.1012 0.8988 0.0000
2 Ti 0.3002 0.6998 0.0019
3 Ti 0.6998 0.3002 0.0019
4 Ti 0.8988 0.1012 0.0000
5 Fe 0.5000 0.5000 0.9949
6 Bi 0.0000 0.0000 0.4121
7 Pb 0.2004 0.7996 0.4566
8 Pb 0.4038 0.5962 0.4623
9 Pb 0.5962 0.4038 0.4623
10 Pb 0.7996 0.2004 0.4566
11 O 0.0000 0.5000 0.1102
12 O 0.0968 0.9032 0.6103
13 O 0.1013 0.4006 0.1002
14 O 0.1921 0.2910 0.1201
15 O 0.2910 0.1921 0.1201
16 O 0.2984 0.7016 0.6131
17 O 0.4006 0.1013 0.1002
18 O 0.5000 0.0000 0.1102
19 O 0.5000 0.5000 0.5941
20 O 0.5994 0.8987 0.1002
21 O 0.7016 0.2984 0.6131
22 O 0.7090 0.8079 0.1201
23 O 0.8079 0.7090 0.1201
24 O 0.8987 0.5994 0.1002
25 O 0.9032 0.0968 0.6103

Crystal system: orthorhombic

***

Entry 3:
A plane-wave DFT calculation with PBEsol was carried out for a relaxed Zr3InSe crystal.

a = 4.9256 Å, b = 4.9256 Å, c = 4.9256 Å
α = 90.00°, β = 90.00°, γ = 90.00°
Element x y z (fractional)
1 Zr 0.0000 0.0000 0.5000
2 Zr 0.0000 0.5000 0.0000
3 Zr 0.5000 0.0000 0.0000
4 In 0.5000 0.5000 0.5000
5 Se 0.0000 0.0000 0.0000

Fermi-level density of states: 1.160 states/eV per atom
Crystal system: cubic

***

no.,E (eV per atom),calculated density (kg/m3),magnetization (μB per formula unit)
1,-4.26,7185,3.1
2,-7.75,7734,5.0
3,-7.01,6495,0.0